#w
Computed, not measured: an optimized crystal structure of Cd2NiW at the GGA-PBEsol level of DFT.

Computed properties:
N(E_F)	3.30	states/eV per cell
crystal system	trigonal

a b c (Å): 9.6043 9.6043 9.6043
angles (deg): 16.91 16.91 16.91
Atoms (fractional coordinates):
Cd: 0.0000 0.0000 0.0000
Cd: 0.2360 0.2360 0.2360
Ni: 0.4912 0.4912 0.4912
W: 0.7563 0.7563 0.7563

#x
Computed, not measured: an optimized crystal structure of Cd2NiW at the GGA-PBEsol level of DFT.

Computed properties:
N(E_F)	3.11	states/eV per cell
crystal system	orthorhombic

a b c (Å): 5.5840 5.5840 5.5840
angles (deg): 151.32 130.10 58.57
Atoms (fractional coordinates):
Cd: 0.2254 0.2254 0.0000
Cd: 0.7746 0.7746 0.0000
Ni: 0.0000 0.5000 0.5000
W: 0.5000 0.0000 0.5000

Quick one: least stable of them? #x

#w
Computed, not measured: an optimized crystal structure of CdSiO2 at the GGA-PBEsol level of DFT.

Computed properties:
N(E_F)	0.86	states/eV per cell
crystal system	trigonal

a b c (Å): 9.5529 9.5529 9.5529
angles (deg): 16.42 16.42 16.42
Atoms (fractional coordinates):
Cd: 0.0000 0.0000 0.0000
Si: 0.5000 0.5000 0.5000
O: 0.1349 0.1349 0.1349
O: 0.8651 0.8651 0.8651

#x
Computed, not measured: an optimized crystal structure of CdSiO2 at the GGA-PBEsol level of DFT.

Computed properties:
N(E_F)	0.90	states/eV per cell
crystal system	cubic

a b c (Å): 4.0360 4.0360 4.0360
angles (deg): 60.00 60.00 60.00
Atoms (fractional coordinates):
Cd: 0.0000 0.0000 0.0000
Si: 0.5000 0.5000 0.5000
O: 0.2500 0.2500 0.2500
O: 0.7500 0.7500 0.7500

Quick one: least stable of them? #x

#w
Computed, not measured: an optimized crystal structure of Cd2SnO4 at the GGA-PBEsol level of DFT.

Computed properties:
N(E_F)	1.81	states/eV per cell
crystal system	orthorhombic

a b c (Å): 6.5702 6.5702 6.5702
angles (deg): 121.54 120.85 87.94
Atoms (fractional coordinates):
Cd: 0.0000 0.0000 0.5000
Cd: 0.0000 0.5000 0.0000
Cd: 0.3895 0.1395 0.2500
Cd: 0.6105 0.8605 0.7500
Sn: 0.0000 0.5000 0.5000
Sn: 0.5000 0.5000 0.0000
O: 0.2052 0.7160 0.4892
O: 0.2498 0.2819 0.5321
O: 0.2498 0.7177 0.9679
O: 0.2732 0.2840 0.9892
O: 0.7268 0.7160 0.0108
O: 0.7502 0.2823 0.0321
O: 0.7502 0.7181 0.4679
O: 0.7948 0.2840 0.5108

#x
Computed, not measured: an optimized crystal structure of Cd2SnO4 at the GGA-PBEsol level of DFT.

Computed properties:
N(E_F)	8.35	states/eV per cell
crystal system	cubic

a b c (Å): 6.5046 6.5046 6.5046
angles (deg): 60.00 60.00 60.00
Atoms (fractional coordinates):
Cd: 0.0000 0.0000 0.0000
Cd: 0.0000 0.0000 0.5000
Cd: 0.0000 0.5000 0.0000
Cd: 0.5000 0.0000 0.0000
Sn: 0.3750 0.3750 0.3750
Sn: 0.6250 0.6250 0.6250
O: 0.2503 0.2503 0.2503
O: 0.2503 0.2503 0.7492
O: 0.2503 0.7492 0.2503
O: 0.2508 0.7497 0.7497
O: 0.7492 0.2503 0.2503
O: 0.7497 0.2508 0.7497
O: 0.7497 0.7497 0.2508
O: 0.7497 0.7497 0.7497

Quick one: least stable of them? #x

#w
Computed, not measured: an optimized crystal structure of CdOs2 at the GGA-PBEsol level of DFT.

Computed properties:
N(E_F)	2.53	states/eV per cell
crystal system	hexagonal

a b c (Å): 4.4411 4.4411 2.7679
angles (deg): 90.00 90.00 120.00
Atoms (fractional coordinates):
Cd: 0.0000 0.0000 0.0000
Os: 0.3333 0.6667 0.5000
Os: 0.6667 0.3333 0.5000

#x
Computed, not measured: an optimized crystal structure of CdOs2 at the GGA-PBEsol level of DFT.

Computed properties:
N(E_F)	1.92	states/eV per cell
crystal system	tetragonal

a b c (Å): 6.3081 6.3081 6.3081
angles (deg): 154.34 154.34 36.61
Atoms (fractional coordinates):
Cd: 0.0000 0.0000 0.0000
Os: 0.3177 0.3177 0.0000
Os: 0.6823 0.6823 0.0000

Quick one: least stable of them? #w